[1]
A plane-wave DFT calculation with PBE was carried out for a geometry-optimized CsYNb3 structure.

```
CsYNb3
1.0
5.084 0.000 0.000
0.000 5.084 0.000
0.000 0.000 5.084
Nb Cs Y
3 1 1
Direct
0.000 0.500 0.000
0.000 0.000 0.500
0.500 0.000 0.000
0.000 0.000 0.000
0.500 0.500 0.500
```

## Properties
For the offset from the most stable computed form, the calculation gives 0 meV/atom. The calculation puts the energy at -26.71 eV for the cell shown. Its crystal system is cubic. As for the symmetry: Pm-3m (221). The value obtained for the volume is 26.286 Å³/atom. The value obtained for the energy relative to the elements is 10.8 eV per formula unit. Its magnetic moment is 0.00 μB per cell.

---

[2]
A plane-wave DFT calculation with PBE was carried out for a geometry-optimized Ti2NbV structure.

```
Ti2NbV
1.0
3.179 0.000 0.000
0.000 3.179 0.000
0.000 0.000 6.473
Nb V Ti
1 1 2
Direct
0.500 0.500 0.500
0.500 0.500 0.000
0.000 0.000 0.770
0.000 0.000 0.230
```

## Properties
For the offset from the most stable computed form, the calculation gives 0 meV/atom. The calculation puts the energy at -34.63 eV for the cell shown. Its crystal system is tetragonal. As for the symmetry: P4/mmm (123). The value obtained for the volume is 16.350 Å³/atom. The value obtained for the energy relative to the elements is 0.3 eV per formula unit. Its magnetic moment is 0.00 μB per cell.

---

[3]
A plane-wave DFT calculation with PBE was carried out for a geometry-optimized Mn6CuPt5 structure.

```
Mn6CuPt5
1.0
-3.505 0.253 2.304
3.294 -2.633 5.299
-0.116 5.914 3.011
Pt Mn Cu
5 6 1
Direct
0.333 0.500 0.334
0.336 0.000 0.329
0.000 0.500 0.000
0.664 0.000 0.671
0.667 0.500 0.666
0.500 0.755 0.000
0.165 0.247 0.670
0.835 0.753 0.330
0.165 0.753 0.670
0.835 0.247 0.330
0.500 0.245 0.000
0.000 0.000 0.000
```

## Properties
The calculation puts the energy at -92.56 eV for the cell shown. Its crystal system is orthorhombic. As for the symmetry: Cmmm (65). The value obtained for the volume is 14.927 Å³/atom. The value obtained for the energy relative to the elements is -3.2 eV per formula unit. Its magnetic moment is 25.84 μB per cell.

---

[4]
A plane-wave DFT calculation with PBE was carried out for a geometry-optimized Rb3Ag2Br2F5 structure.

```
Rb3Ag2Br2F5
1.0
-1.940 4.181 0.630
-2.981 -0.861 -3.466
-5.598 -6.631 9.581
Rb Br F Ag
3 2 5 2
Direct
0.158 0.158 0.315
0.000 0.000 0.000
0.842 0.842 0.685
0.308 0.308 0.617
0.692 0.692 0.383
0.584 0.084 0.168
0.084 0.584 0.168
0.500 0.500 0.000
0.416 0.916 0.832
0.916 0.416 0.832
0.587 0.587 0.173
0.413 0.413 0.827
```

## Properties
The calculation puts the energy at -41.77 eV for the cell shown. Its crystal system is tetragonal. As for the symmetry: I4/mmm (139). The value obtained for the volume is 22.545 Å³/atom. Its magnetic moment is 0.00 μB per cell.

---

[5]
A plane-wave DFT calculation with PBE was carried out for a geometry-optimized HgPt2Rh structure.

```
HgPt2Rh
1.0
-6.226 -5.810 4.175
-4.060 -6.100 6.022
-5.900 -3.926 6.304
Hg Pt Rh
1 2 1
Direct
0.000 0.000 0.000
0.754 0.754 0.754
0.246 0.246 0.246
0.500 0.500 0.500
```

## Properties
The calculation puts the energy at -19.28 eV for the cell shown. Its crystal system is trigonal. As for the symmetry: R-3m (166). The value obtained for the volume is 16.562 Å³/atom. The value obtained for the energy relative to the elements is 0.5 eV per formula unit. Its magnetic moment is 1.37 μB per cell.

---

[6]
A plane-wave DFT calculation with PBE was carried out for a geometry-optimized ThAl3Zn structure.

```
ThAl3Zn
1.0
4.027 -0.002 1.392
-0.481 3.997 1.395
0.104 0.112 6.229
Al Th Zn
3 1 1
Direct
0.649 0.952 0.408
0.793 0.596 0.120
0.149 0.452 0.408
0.400 0.204 0.905
0.017 0.821 0.671
```

## Properties
The calculation puts the energy at -21.60 eV for the cell shown. Its crystal system is tetragonal. As for the symmetry: I4mm (107). The value obtained for the volume is 19.796 Å³/atom. The value obtained for the energy relative to the elements is -1.7 eV per formula unit. Its magnetic moment is 0.00 μB per cell.

---

[7]
A plane-wave DFT calculation with PBE was carried out for a geometry-optimized Y3Ga7Pd2 structure.

```
Y3Ga7Pd2
1.0
-3.029 -0.968 2.762
0.744 -4.111 -0.626
8.596 2.155 10.181
Ga Pd Y
7 2 3
Direct
0.000 0.415 0.838
0.000 0.000 0.000
0.500 0.081 0.162
0.000 0.585 0.162
0.500 0.725 0.450
0.500 0.275 0.550
0.500 0.919 0.838
0.500 0.632 0.264
0.500 0.368 0.736
0.000 0.816 0.636
0.500 0.500 0.000
0.000 0.184 0.364
```

## Properties
The calculation puts the energy at -59.17 eV for the cell shown. Its crystal system is monoclinic. As for the symmetry: P2/m (10). The value obtained for the volume is 19.771 Å³/atom. The value obtained for the energy relative to the elements is -8.2 eV per formula unit. Its magnetic moment is 0.00 μB per cell.

---

[8]
A plane-wave DFT calculation with PBE was carried out for a geometry-optimized Ni8Ir2W structure.

```
Ni8Ir2W
1.0
4.268 -0.802 -0.863
-0.709 3.446 -2.805
-1.031 1.554 8.307
Ni W Ir
8 1 2
Direct
0.552 0.371 0.733
0.182 0.456 0.911
0.632 0.087 0.179
0.368 0.913 0.821
0.448 0.629 0.267
0.275 0.179 0.361
0.818 0.544 0.089
0.725 0.821 0.639
0.000 0.000 0.000
0.087 0.724 0.451
0.913 0.276 0.549
```

## Properties
The calculation puts the energy at -77.50 eV for the cell shown. Its crystal system is triclinic. As for the symmetry: P-1 (2). The value obtained for the volume is 11.968 Å³/atom. The value obtained for the energy relative to the elements is -0.6 eV per formula unit. Its magnetic moment is 0.00 μB per cell.

---

[9]
A plane-wave DFT calculation with PBE was carried out for a geometry-optimized ZnSn2B structure.

```
ZnSn2B
1.0
-2.127 5.527 -1.311
-3.188 -2.320 -4.610
-6.577 0.831 0.140
Zn Sn B
2 4 2
Direct
0.000 0.000 0.000
0.750 0.250 0.500
0.561 0.125 0.250
0.189 0.625 0.250
0.875 0.811 0.750
0.375 0.439 0.750
0.250 0.750 0.500
0.500 0.500 0.000
```

## Properties
For the offset from the most stable computed form, the calculation gives 0 meV/atom. The calculation puts the energy at -27.98 eV for the cell shown. Its crystal system is tetragonal. As for the symmetry: I-42d (122). The value obtained for the volume is 23.260 Å³/atom. The value obtained for the energy relative to the elements is 2.0 eV per formula unit. Its magnetic moment is 0.00 μB per cell.

---

[10]
A plane-wave DFT calculation with PBE was carried out for a geometry-optimized La8Ag2Ru structure.

```
La8Ag2Ru
1.0
5.484 0.000 0.000
0.000 7.116 0.067
-2.742 -2.971 8.680
Ru Ag La
1 2 8
Direct
0.500 0.000 0.000
0.825 0.282 0.651
0.175 0.718 0.349
0.795 0.687 0.589
0.343 0.018 0.686
0.981 0.202 0.961
0.019 0.798 0.039
0.588 0.435 0.176
0.657 0.982 0.314
0.205 0.313 0.411
0.412 0.565 0.824
```

## Properties
For the offset from the most stable computed form, the calculation gives 18 meV/atom. The calculation puts the energy at -55.85 eV for the cell shown. Its crystal system is monoclinic. As for the symmetry: C2/m (12). The value obtained for the volume is 30.892 Å³/atom. The value obtained for the energy relative to the elements is -1.5 eV per formula unit. Its magnetic moment is 0.00 μB per cell.

---

[11]
A plane-wave DFT calculation with PBE was carried out for a geometry-optimized Er2SiPd6 structure.

```
Er2SiPd6
1.0
-2.114 -1.956 -2.462
6.063 -3.010 -2.815
-2.417 -2.240 6.735
Er Pd Si
2 6 1
Direct
0.649 0.649 0.297
0.351 0.351 0.703
0.500 0.201 0.000
0.837 0.042 0.673
0.163 0.369 0.327
0.163 0.958 0.327
0.837 0.631 0.673
0.500 0.799 0.000
0.000 0.000 0.000
```

## Properties
The calculation puts the energy at -51.51 eV for the cell shown. Its crystal system is monoclinic. As for the symmetry: C2/m (12). The value obtained for the volume is 19.340 Å³/atom. Its magnetic moment is 0.00 μB per cell.

---

[12]
A plane-wave DFT calculation with PBE was carried out for a geometry-optimized MgBiSe2 structure.

```
MgBiSe2
1.0
-8.971 -2.154 0.038
-8.523 -0.767 3.448
-9.083 1.513 0.577
Se Mg Bi
2 1 1
Direct
0.106 0.106 0.106
0.894 0.894 0.894
0.500 0.500 0.500
0.000 0.000 0.000
```

## Properties
For the offset from the most stable computed form, the calculation gives 2 meV/atom. The calculation puts the energy at -14.29 eV for the cell shown. Its crystal system is trigonal. As for the symmetry: R-3m (166). The value obtained for the volume is 26.724 Å³/atom. Its magnetic moment is 0.00 μB per cell.

---

Q: Which of these has the highest energy?
A: MgBiSe2

---

Q: Among the records above, which one has the lowest energy?
A: Mn6CuPt5

---

Q: Which of these has the highest energy?
A: MgBiSe2

---

Q: energy of number 11 (Er2SiPd6)?
A: -51.51 eV for the cell shown